# Na2AgBi2

A relaxed Na2AgBi2 crystal (PBE-GGA, the Alexandria database).

Unit cell a=9.3051 b=9.3051 c=3.2386 alpha=90.00 beta=90.00 gamma=90.00
Atoms (fractional coordinates):
Ag (0.5000, 0.5000, 0.0000)
Ag (0.0000, 0.0000, 0.0000)
Bi (0.1864, 0.6864, 0.5000)
Bi (0.6864, 0.8136, 0.5000)
Bi (0.8136, 0.3136, 0.5000)
Bi (0.3136, 0.1864, 0.5000)
Na (0.1149, 0.3851, 0.0000)
Na (0.8851, 0.6149, 0.0000)
Na (0.3851, 0.8851, 0.0000)
Na (0.6149, 0.1149, 0.0000)

Summary:
energy of formation from the pure elements	0.058	eV per atom
final energy	-2.593	eV per atom
energy above the lowest structure with this stoichiometry	254	meV/atom
magnetic moment	0.000	μB/f.u.

# NaAg3Bi3

A relaxed NaAg3Bi3 crystal (PBE-GGA, the Alexandria database).

Unit cell a=7.9407 b=7.9407 c=7.9407 alpha=90.00 beta=90.00 gamma=90.00
Atoms (fractional coordinates):
Ag (0.0000, 0.5000, 0.7500)
Ag (0.5000, 0.2500, 0.0000)
Ag (0.5000, 0.7500, 0.0000)
Ag (0.7500, 0.0000, 0.5000)
Ag (0.2500, 0.0000, 0.5000)
Ag (0.0000, 0.5000, 0.2500)
Bi (0.0000, 0.7500, 0.5000)
Bi (0.5000, 0.0000, 0.2500)
Bi (0.7500, 0.5000, 0.0000)
Bi (0.5000, 0.0000, 0.7500)
Bi (0.0000, 0.2500, 0.5000)
Bi (0.2500, 0.5000, 0.0000)
Na (0.0000, 0.0000, 0.0000)
Na (0.5000, 0.5000, 0.5000)

Summary:
energy of formation from the pure elements	0.274	eV per atom
final energy	-2.799	eV per atom
magnetic moment	0.000	μB/f.u.

# Na2Ag2Bi

A relaxed Na2Ag2Bi crystal (PBE-GGA, the Alexandria database).

Unit cell a=4.2768 b=4.2768 c=7.5519 alpha=73.55 beta=73.55 gamma=90.00
Atoms (fractional coordinates):
Na (0.2500, 0.7500, 0.5000)
Na (0.7500, 0.2500, 0.5000)
Ag (0.5968, 0.5968, 0.8064)
Ag (0.4032, 0.4032, 0.1936)
Bi (0.0000, 0.0000, 0.0000)

Summary:
energy of formation from the pure elements	0.161	eV per atom
final energy	-2.283	eV per atom
energy above the lowest structure with this stoichiometry	237	meV/atom
magnetic moment	0.000	μB/f.u.